# 1
Sr3Si5Ni6 PBE-GGA optimized geometry; E_form (uncorrected) = -492 meV per atom; M_tot = 0.0 μB per formula unit; symmetry = Pmmn
1.0
3.907 0.000 0.000
0.000 11.967 0.000
0.000 0.000 11.007
Sr Si Ni
6 10 12
Direct
0.250 0.082 0.241
0.250 0.418 0.241
0.250 0.750 0.255
0.750 0.250 0.745
0.750 0.582 0.759
0.750 0.918 0.759
0.250 0.082 0.603
0.250 0.418 0.603
0.250 0.638 0.998
0.250 0.750 0.605
0.250 0.862 0.998
0.750 0.138 0.002
0.750 0.250 0.395
0.750 0.362 0.002
0.750 0.582 0.397
0.750 0.918 0.397
0.250 0.049 0.949
0.250 0.250 0.501
0.250 0.250 0.991
0.250 0.451 0.949
0.250 0.584 0.502
0.250 0.916 0.502
0.750 0.084 0.498
0.750 0.416 0.498
0.750 0.549 0.051
0.750 0.750 0.009
0.750 0.750 0.499
0.750 0.951 0.051


# 2
SrSi4Ni9 PBE-GGA optimized geometry; E_form (uncorrected) = -506 meV per atom; M_tot = 0.0 μB per formula unit; symmetry = I4/mcm
1.0
-3.929 3.929 5.758
3.929 -3.929 5.758
3.929 3.929 -5.758
Sr Si Ni
2 8 18
Direct
0.250 0.250 0.000
0.750 0.750 0.000
0.052 0.552 0.840
0.212 0.052 0.500
0.288 0.788 0.840
0.448 0.288 0.500
0.552 0.712 0.500
0.712 0.212 0.160
0.788 0.948 0.500
0.948 0.448 0.160
0.000 0.500 0.500
0.054 0.814 0.500
0.070 0.203 0.273
0.186 0.686 0.240
0.203 0.930 0.134
0.297 0.430 0.727
0.314 0.554 0.500
0.430 0.703 0.134
0.446 0.946 0.760
0.500 0.000 0.500
0.554 0.054 0.240
0.570 0.297 0.866
0.686 0.446 0.500
0.703 0.570 0.273
0.797 0.070 0.866
0.814 0.314 0.760
0.930 0.797 0.727
0.946 0.186 0.500


# 3
SrSiNi PBE-GGA optimized geometry; E_form (uncorrected) = 925 meV per atom; M_tot = 0.0 μB per formula unit; symmetry = F-43m
1.0
0.000 3.405 3.405
3.405 0.000 3.405
3.405 3.405 0.000
Sr Si Ni
1 1 1
Direct
0.000 0.000 0.000
0.250 0.250 0.250
0.750 0.750 0.750


# 4
Sr2SiNi PBE-GGA optimized geometry; E_form (uncorrected) = 330 meV per atom; M_tot = 0.0 μB per formula unit; symmetry = I-42d
1.0
-4.095 4.095 3.252
4.095 -4.095 3.252
4.095 4.095 -3.252
Sr Si Ni
4 2 2
Direct
0.094 0.625 0.969
0.375 0.344 0.469
0.656 0.125 0.031
0.875 0.906 0.531
0.250 0.750 0.500
0.500 0.500 0.000
0.000 0.000 0.000
0.750 0.250 0.500


# 5
SrSi2Ni6 PBE-GGA optimized geometry; E_form (uncorrected) = -175 meV per atom; M_tot = 0.0 μB per formula unit; symmetry = C2/m
1.0
4.792 -3.470 0.000
4.792 3.470 0.000
-0.653 0.000 4.033
Sr Si Ni
1 2 6
Direct
0.000 0.000 0.000
0.316 0.316 0.263
0.684 0.684 0.737
0.105 0.455 0.760
0.320 0.680 0.500
0.455 0.105 0.760
0.545 0.895 0.240
0.680 0.320 0.500
0.895 0.545 0.240


# 6
SrSi6Ni12 PBE-GGA optimized geometry; E_form (uncorrected) = -471 meV per atom; M_tot = 0.0 μB per formula unit; symmetry = R-3m
1.0
5.240 3.025 2.626
-5.240 3.025 2.626
0.000 -6.050 2.626
Sr Si Ni
1 6 12
Direct
0.000 0.000 0.000
0.246 0.246 0.685
0.246 0.685 0.246
0.315 0.754 0.754
0.685 0.246 0.246
0.754 0.315 0.754
0.754 0.754 0.315
0.126 0.500 0.874
0.126 0.874 0.500
0.168 0.442 0.442
0.442 0.168 0.442
0.442 0.442 0.168
0.500 0.126 0.874
0.500 0.874 0.126
0.558 0.558 0.832
0.558 0.832 0.558
0.832 0.558 0.558
0.874 0.126 0.500
0.874 0.500 0.126


# 7
Sr2SiNi PBE-GGA optimized geometry; E_form (uncorrected) = 34 meV per atom; M_tot = 0.0 μB per formula unit; symmetry = Cmmm
1.0
3.720 -3.746 0.000
3.720 3.746 0.000
0.000 0.000 3.714
Sr Si Ni
2 1 1
Direct
0.000 0.500 0.000
0.500 0.000 0.000
0.000 0.000 0.500
0.500 0.500 0.500


# 8
SrSi3Ni6 PBE-GGA optimized geometry; E_form (uncorrected) = -300 meV per atom; M_tot = 0.0 μB per formula unit; symmetry = P2_1/c
1.0
6.292 0.000 0.000
0.000 6.336 0.000
-4.274 0.000 6.724
Sr Si Ni
2 6 12
Direct
0.000 0.000 0.000
0.000 0.500 0.500
0.276 0.135 0.459
0.276 0.365 0.959
0.500 0.000 0.000
0.500 0.500 0.500
0.724 0.635 0.041
0.724 0.865 0.541
0.140 0.048 0.682
0.140 0.452 0.182
0.262 0.702 0.867
0.262 0.798 0.367
0.487 0.173 0.269
0.487 0.327 0.769
0.513 0.673 0.231
0.513 0.827 0.731
0.738 0.202 0.633
0.738 0.298 0.133
0.860 0.548 0.818
0.860 0.952 0.318


# 9
SrSiNi3 PBE-GGA optimized geometry; E_form (uncorrected) = -280 meV per atom; M_tot = 0.0 μB per formula unit; energy above the lowest structure with this stoichiometry = 0 meV/atom; symmetry = I4mm
1.0
-2.005 2.005 4.972
2.005 -2.005 4.972
2.005 2.005 -4.972
Sr Si Ni
1 1 3
Direct
0.000 0.000 0.000
0.640 0.640 0.000
0.255 0.755 0.500
0.406 0.406 0.000
0.755 0.255 0.500


# 10
SrSiNi3 PBE-GGA optimized geometry; E_form (uncorrected) = 1866 meV per atom; M_tot = 0.0 μB per formula unit; energy above the lowest structure with this stoichiometry = 2146 meV/atom; symmetry = Pm-3m
1.0
4.707 0.000 0.000
0.000 4.707 0.000
0.000 0.000 4.707
Sr Si Ni
1 1 3
Direct
0.000 0.000 0.000
0.500 0.500 0.500
0.000 0.000 0.500
0.000 0.500 0.000
0.500 0.000 0.000


# 11
Sr2SiNi PBE-GGA optimized geometry; E_form (uncorrected) = -200 meV per atom; M_tot = 0.0 μB per formula unit; symmetry = Imm2
1.0
-2.037 2.589 4.933
2.037 -2.589 4.933
2.037 2.589 -4.933
Sr Si Ni
2 1 1
Direct
0.000 0.000 0.000
0.700 0.200 0.500
0.405 0.405 0.000
0.315 0.815 0.500


# 12
SrSi3Ni3 PBE-GGA optimized geometry; E_form (uncorrected) = -299 meV per atom; M_tot = 0.0 μB per formula unit; energy above the lowest structure with this stoichiometry = 6 meV/atom; symmetry = Pm-3n
1.0
6.326 0.000 0.000
0.000 6.326 0.000
0.000 0.000 6.326
Sr Si Ni
2 6 6
Direct
0.000 0.000 0.000
0.500 0.500 0.500
0.000 0.250 0.500
0.000 0.750 0.500
0.250 0.500 0.000
0.500 0.000 0.250
0.500 0.000 0.750
0.750 0.500 0.000
0.000 0.500 0.250
0.000 0.500 0.750
0.250 0.000 0.500
0.500 0.250 0.000
0.500 0.750 0.000
0.750 0.000 0.500


# 13
Sr2SiNi PBE-GGA optimized geometry; E_form (uncorrected) = 238 meV per atom; M_tot = 0.0 μB per formula unit; symmetry = R-3m
1.0
2.013 1.162 8.322
-2.013 1.162 8.322
0.000 -2.325 8.322
Sr Si Ni
2 1 1
Direct
0.242 0.242 0.242
0.758 0.758 0.758
0.000 0.000 0.000
0.500 0.500 0.500


# 14
Sr2SiNi PBE-GGA optimized geometry; E_form (uncorrected) = -217 meV per atom; M_tot = 0.0 μB per formula unit; symmetry = Cm
1.0
3.528 -2.047 0.000
3.528 2.047 0.000
-0.052 0.000 8.524
Sr Si Ni
2 1 1
Direct
0.000 0.000 0.000
0.668 0.668 0.454
0.331 0.331 0.739
0.665 0.665 0.777


# 15
SrSiNi PBE-GGA optimized geometry; E_form (uncorrected) = -411 meV per atom; M_tot = 0.0 μB per formula unit; symmetry = P-6m2
1.0
3.994 0.000 0.000
-1.997 3.459 0.000
0.000 0.000 4.741
Sr Si Ni
1 1 1
Direct
0.000 0.000 0.000
0.333 0.667 0.500
0.667 0.333 0.500


# 16
SrSi2TcNi PBE-GGA optimized geometry; E_form (uncorrected) = 2431 meV per atom; M_tot = 0.1 μB per formula unit; symmetry = P4/mmm
1.0
5.155 0.000 0.000
0.000 5.155 0.000
0.000 0.000 4.477
Sr Si Tc Ni
1 2 1 1
Direct
0.000 0.000 0.000
0.000 0.500 0.000
0.500 0.000 0.000
0.500 0.500 0.500
0.000 0.000 0.500


# 17
SrTlSi2Ni PBE-GGA optimized geometry; E_form (uncorrected) = 734 meV per atom; M_tot = 0.0 μB per formula unit; symmetry = P4/mmm
1.0
5.255 0.000 0.000
0.000 5.255 0.000
0.000 0.000 4.881
Sr Tl Si Ni
1 1 2 1
Direct
0.000 0.000 0.000
0.500 0.500 0.500
0.000 0.500 0.500
0.500 0.000 0.500
0.500 0.500 0.000


# 18
Sr2TlSiNi PBE-GGA optimized geometry; E_form (uncorrected) = -268 meV per atom; M_tot = 0.0 μB per formula unit; symmetry = P4/mmm
1.0
5.769 0.000 0.000
0.000 5.769 0.000
0.000 0.000 4.380
Sr Tl Si Ni
2 1 1 1
Direct
0.000 0.500 0.000
0.500 0.000 0.000
0.000 0.000 0.500
0.500 0.500 0.500
0.500 0.500 0.000


# 19
SrSiNiW2 PBE-GGA optimized geometry; E_form (uncorrected) = 3292 meV per atom; M_tot = 0.0 μB per formula unit; symmetry = P4/mmm
1.0
4.938 0.000 0.000
0.000 4.938 0.000
0.000 0.000 4.401
Sr Si Ni W
1 1 1 2
Direct
0.000 0.000 0.000
0.500 0.500 0.500
0.000 0.000 0.500
0.000 0.500 0.000
0.500 0.000 0.000


# 20
Sr2ZnSiNi PBE-GGA optimized geometry; E_form (uncorrected) = -186 meV per atom; M_tot = 0.0 μB per formula unit; symmetry = P4/mmm
1.0
5.723 0.000 0.000
0.000 5.723 0.000
0.000 0.000 4.335
Sr Zn Si Ni
2 1 1 1
Direct
0.000 0.500 0.000
0.500 0.000 0.000
0.000 0.000 0.500
0.500 0.500 0.500
0.500 0.500 0.000